(1)
CoC (PBE-GGA, relaxed); V = 108.0 Å³/cell; M_tot = 0.33 μB/f.u.
1.0
3.444 0.000 0.000
-1.722 2.983 0.000
0.000 0.000 10.508
Co C
6 6
direct
0.000 0.000 0.246
0.000 0.000 0.754
0.333 0.667 0.420
0.333 0.667 0.913
0.667 0.333 0.087
0.667 0.333 0.580
0.000 0.000 0.067
0.000 0.000 0.933
0.333 0.667 0.600
0.333 0.667 0.734
0.667 0.333 0.266
0.667 0.333 0.400

(2)
Co2C (PBE-GGA, relaxed); E above lowest polymorph = 573 meV/atom; V = 106.2 Å³/cell; M_tot = 0.29 μB/f.u.
1.0
2.448 0.000 0.000
0.000 2.448 0.000
0.000 0.000 17.725
Co C
8 4
direct
0.000 0.250 0.311
0.000 0.250 0.439
0.000 0.750 0.561
0.000 0.750 0.689
0.500 0.250 0.061
0.500 0.250 0.189
0.500 0.750 0.811
0.500 0.750 0.939
0.000 0.250 0.875
0.000 0.750 0.125
0.500 0.250 0.625
0.500 0.750 0.375

Across the entries above, ΔH_f (0 K) takes the values 0.6157; 0.6803 eV/atom, respectively.